1.
Entry from Alexandria via LeMat-Bulk: an optimized crystal structure of ZrAs3Pb (PBE-GGA).

a b c (Å): 5.216 5.216 5.216
angles (deg): 90.00 90.00 90.00
Element x y z (fractional)
As 0.000 0.000 0.500
As 0.500 0.000 0.000
Zr 0.000 0.000 0.000
Pb 0.500 0.500 0.500
As 0.000 0.500 0.000

Properties
**Crystal system**: cubic
**V**: 28.4 Å³ per atom
**ΔE to the lowest computed polymorph**: 0.00 eV/f.u.
**Total magnetic moment**: 0.000 μB per atom
**Energy relative to the elements**: 0.056 eV/atom

---

2.
Entry from Alexandria via LeMat-Bulk: an optimized crystal structure of ZrAsPb (PBE-GGA).

a b c (Å): 4.148 4.148 8.295
angles (deg): 90.00 90.00 90.00
Element x y z (fractional)
As 0.000 0.500 0.349
Zr 0.000 0.500 0.668
As 0.500 0.000 0.651
Pb 0.500 0.500 0.000
Zr 0.500 0.000 0.332
Pb 0.000 0.000 0.000

Properties
**Crystal system**: tetragonal
**V**: 23.8 Å³ per atom
**ΔE to the lowest computed polymorph**: 0.54 eV/f.u.
**Total magnetic moment**: 0.000 μB per atom
**Energy relative to the elements**: -0.321 eV/atom

---

3.
Entry from Alexandria via LeMat-Bulk: an optimized crystal structure of ZrAsPb2 (PBE-GGA).

a b c (Å): 6.022 6.022 6.022
angles (deg): 137.39 137.39 61.84
Element x y z (fractional)
Pb 0.250 0.750 0.500
As 0.750 0.250 0.500
Zr 0.500 0.500 0.000
Pb 0.000 0.000 0.000

Properties
**Crystal system**: tetragonal
**V**: 24.7 Å³ per atom
**Total magnetic moment**: 0.000 μB per atom
**Energy relative to the elements**: 0.007 eV/atom

---

4.
Entry from Alexandria via LeMat-Bulk: an optimized crystal structure of ZrAsPb2 (PBE-GGA).

a b c (Å): 3.607 3.607 7.945
angles (deg): 90.00 90.00 90.00
Element x y z (fractional)
Pb 0.000 0.000 0.971
Pb 0.500 0.500 0.284
Zr 0.000 0.000 0.560
As 0.500 0.500 0.685

Properties
**Crystal system**: tetragonal
**V**: 25.8 Å³ per atom
**Total magnetic moment**: 0.000 μB per atom
**Energy relative to the elements**: -0.296 eV/atom

---

5.
Entry from Alexandria via LeMat-Bulk: an optimized crystal structure of ZrAsPb3 (PBE-GGA).

a b c (Å): 5.490 5.490 5.490
angles (deg): 90.00 90.00 90.00
Site moments in Bohr magnetons follow the coordinates.
Element x y z (fractional)
Pb 0.500 0.000 0.000  -0.01
As 0.000 0.000 0.000  0.04
Pb 0.000 0.500 0.000  0.01
Zr 0.500 0.500 0.500  1.04
Pb 0.000 0.000 0.500  0.03

Properties
**Crystal system**: cubic
**V**: 33.1 Å³ per atom
**ΔE to the lowest computed polymorph**: 0.52 eV/f.u.
**Total magnetic moment**: 0.363 μB per atom
**Energy relative to the elements**: 0.802 eV/atom

---

6.
Entry from Alexandria via LeMat-Bulk: an optimized crystal structure of ZrAsPb (PBE-GGA).

a b c (Å): 5.968 5.968 5.968
angles (deg): 144.61 144.61 50.92
Element x y z (fractional)
Zr 0.629 0.629 0.000
As 0.043 0.043 0.000
Pb 0.328 0.328 0.000

Properties
**Crystal system**: tetragonal
**V**: 23.6 Å³ per atom
**ΔE to the lowest computed polymorph**: 0.00 eV/f.u.
**Total magnetic moment**: 0.000 μB per atom
**Energy relative to the elements**: -0.500 eV/atom

---

7.
Entry from Alexandria via LeMat-Bulk: an optimized crystal structure of Zr2As2Pb (PBE-GGA).

a b c (Å): 7.774 7.774 3.559
angles (deg): 90.00 90.00 90.00
Element x y z (fractional)
Zr 0.649 0.149 0.000
Pb 0.500 0.500 0.000
Zr 0.351 0.851 0.000
As 0.358 0.142 0.500
As 0.642 0.858 0.500
As 0.142 0.642 0.500
Zr 0.851 0.649 0.000
Zr 0.149 0.351 0.000
As 0.858 0.358 0.500
Pb 0.000 0.000 0.000

Properties
**Crystal system**: tetragonal
**V**: 21.5 Å³ per atom
**ΔE to the lowest computed polymorph**: 0.00 eV/f.u.
**Total magnetic moment**: 0.000 μB per atom
**Energy relative to the elements**: -0.612 eV/atom

---

8.
Entry from Alexandria via LeMat-Bulk: an optimized crystal structure of ZrAsPb2 (PBE-GGA).

a b c (Å): 8.325 8.325 6.618
angles (deg): 51.02 51.02 90.00
Element x y z (fractional)
Zr 0.750 0.250 0.500
Zr 0.000 0.000 0.000
Pb 0.375 0.387 0.750
Pb 0.137 0.625 0.250
Pb 0.613 0.125 0.250
As 0.250 0.750 0.500
As 0.500 0.500 0.000
Pb 0.875 0.863 0.750

Properties
**Crystal system**: tetragonal
**V**: 26.2 Å³ per atom
**Total magnetic moment**: 0.000 μB per atom
**Energy relative to the elements**: 0.231 eV/atom

---

Q: Which of these has the lowest V?
A: Zr2As2Pb

---

Q: Look up the V of the sixth one.
A: 23.6 Å³ per atom